4
Lattice="4.638 0.000 0.000 2.319 4.017 0.000 2.319 1.339 3.787" Properties=species:S:1:pos:R:3 comment="Sc2BrCl, single point on PBEsol structure, DFT meta-GGA SCAN" n_ef_per_ev_cell=1.4 space_group=Fm-3m vol_a3_per_atom=17.64 e_form_raw_ev_per_atom=-0.847 polymorph_energy_ev_per_fu=2.44 pbc="T T T"
Sc 2.319 1.339 0.947
Sc 6.957 4.017 2.840
Br 0.000 0.000 0.000
Cl 4.638 2.678 1.894